{"formula": "ZrNb2HgB", "functional": "meta-GGA SCAN", "state": "PBEsol geometry", "e_form_ev_per_atom": 1.458, "space_group": "P4/mmm", "mass_density_g_cm3": 7.78, "lattice_angstrom": [[-2.693, -0.339, 2.855], [1.876, -4.630, 1.220], [3.250, 2.194, 3.327]], "species": ["Nb", "Nb", "B", "Hg", "Zr"], "frac_coords": [[0.000, 0.000, 0.500], [0.000, 0.500, 0.000], [0.500, 0.000, 0.000], [0.000, 0.000, 0.000], [0.500, 0.500, 0.500]]}

{"formula": "LaAl2Cl", "functional": "meta-GGA SCAN", "state": "PBEsol geometry", "e_form_raw_ev_per_atom": -0.072, "relative_energy_ev_per_atom": 0.000, "space_group": "P4/mmm", "mass_density_g_cm3": 4.23, "lattice_angstrom": [[3.239, 0.000, 0.000], [0.000, 3.239, 0.000], [0.000, 0.000, 8.550]], "species": ["La", "Al", "Al", "Cl"], "frac_coords": [[0.500, 0.500, 0.500], [0.000, 0.000, 0.767], [0.000, 0.000, 0.233], [0.500, 0.500, 0.000]]}